No. 1
A plane-wave DFT calculation with PBE-GGA was carried out for an optimized crystal structure of Ac4DyZn3O12.

a = 7.0745 Å, b = 7.0745 Å, c = 7.0745 Å
α = 109.47°, β = 109.47°, γ = 109.47°
Closest atoms and distances in Å follow each position.
Element x y z (fractional)
Ac 0.5000 0.5000 0.5000  12 O 2.89
Ac 0.0000 0.0000 0.5000  12 O 2.89
Ac 0.0000 0.5000 0.0000  12 O 2.89
Ac 0.5000 0.0000 0.0000  12 O 2.89
O 0.0000 0.7384 0.7384  1 Zn 1.95, 1 Dy 2.14
O 0.2500 0.5000 0.7500  2 Zn 2.04
O 0.2616 0.2616 0.0000  1 Zn 1.95, 1 Dy 2.14
O 0.7500 0.5000 0.2500  2 Zn 2.04
O 0.5000 0.2500 0.7500  2 Zn 2.04
O 0.2616 0.0000 0.2616  1 Zn 1.95, 1 Dy 2.14
O 0.7500 0.2500 0.5000  2 Zn 2.04
O 0.5000 0.7500 0.2500  2 Zn 2.04
O 0.7384 0.7384 0.0000  1 Zn 1.95, 1 Dy 2.14
O 0.0000 0.2616 0.2616  1 Zn 1.95, 1 Dy 2.14
O 0.2500 0.7500 0.5000  2 Zn 2.04
O 0.7384 0.0000 0.7384  1 Zn 1.95, 1 Dy 2.14
Zn 0.5000 0.0000 0.5000  6 O 1.95-2.04
Zn 0.5000 0.5000 0.0000  6 O 1.95-2.04
Zn 0.0000 0.5000 0.5000  6 O 1.95-2.04
Dy 0.0000 0.0000 0.0000  6 O 2.14

Results
Formation energy (no corrections) ... -228.7 kJ/mol of atoms
Symmetry ... No. 229
Crystal system ... cubic

No. 2
A plane-wave DFT calculation with PBE-GGA was carried out for an optimized crystal structure of TbGdAgPb.

a = 5.3161 Å, b = 5.3161 Å, c = 5.3161 Å
α = 60.00°, β = 60.00°, γ = 60.00°
Closest atoms and distances in Å follow each position.
Element x y z (fractional)
Pb 0.7500 0.7500 0.7500  4 Gd 3.26, 4 Tb 3.26
Ag 0.2500 0.2500 0.2500  4 Gd 3.26, 4 Tb 3.26
Tb 0.5000 0.5000 0.5000  4 Pb 3.26, 4 Ag 3.26
Gd 0.0000 0.0000 0.0000  4 Pb 3.26, 4 Ag 3.26

Results
Calculated formation energy ... -0.422 eV/atom
Symmetry ... No. 216
Crystal system ... cubic

Number 1: Fermi-level density of states 6.43 states/eV/f.u.. Number 2: Fermi-level density of states 3.61 states/eV/f.u..